one.
Here is TcPCl2 after structural relaxation from the Alexandria database. Energies are from PBE.

Results
Density of states at the Fermi level (states/eV per atom): 0.887
Magnetization (Bohr magnetons per cell): 4.55

Cell: 5.6796 8.3971 4.1259 Å, 90.00 133.09 90.00°
Closest atoms and distances in Å follow each position.
Space group C2/m (No. 12)
Symmetry-distinct sites (fractional):
Tc 0.0000 0.0000 0.0000  4 Cl 2.58, 2 P 2.84
P 0.0000 0.5000 0.0000  4 Cl 2.58, 2 Tc 2.84
Cl 0.2500 0.2500 0.5000  2 Tc 2.58, 2 P 2.58, 2 Cl 2.84

=====

two.
Here is TcPCl2 after structural relaxation from the Alexandria database. Energies are from PBE.

Results
Density of states at the Fermi level (states/eV per atom): 0.944
Magnetization (Bohr magnetons per cell): 0.00

Cell: 3.1051 5.6706 9.2627 Å, 90.00 90.00 90.00°
Closest atoms and distances in Å follow each position.
Space group Cmm2 (No. 35)
Symmetry-distinct sites (fractional):
Tc 0.0000 0.0000 0.0000  2 P 2.28, 2 Cl 2.48
P 0.0000 0.5000 0.8196  2 Tc 2.28, 2 Cl 2.53
Cl 0.0000 0.0000 0.6040  2 P 2.53
Cl 0.0000 0.5000 0.2088  2 Tc 2.48

=====

three.
Here is TcPCl2 after structural relaxation from the Alexandria database. Energies are from PBE.

Results
Density of states at the Fermi level (states/eV per atom): 0.238
Magnetization (Bohr magnetons per cell): 0.00

Cell: 8.8166 8.8166 4.5215 Å, 90.00 90.00 90.00°
Closest atoms and distances in Å follow each position.
Space group I-42d (No. 122)
Symmetry-distinct sites (fractional):
Tc 0.0000 0.0000 0.0000  2 P 2.26, 4 Cl 2.47
P 0.0000 0.0000 0.5000  2 Tc 2.26
Cl 0.1078 0.2500 0.1250  2 Tc 2.47

=====

four.
Here is TcPCl2 after structural relaxation from the Alexandria database. Energies are from PBE.

Results
Density of states at the Fermi level (states/eV per atom): 0.397
Magnetization (Bohr magnetons per cell): 0.52

Cell: 14.7325 3.0431 3.9608 Å, 90.00 97.74 90.00°
Closest atoms and distances in Å follow each position.
Space group C2/m (No. 12)
Symmetry-distinct sites (fractional):
Tc 0.0000 0.0000 0.0000  4 P 2.50, 4 Cl 2.56
P 0.0000 0.5000 0.5000  2 Cl 2.50, 4 Tc 2.50
Cl 0.1370 0.5000 0.1920  1 P 2.50, 2 Tc 2.56

=====

Relative energies in meV per atom: one 670; two 224; three 18; four 0

=====

one.
Here is TcP2Cl after structural relaxation from the Alexandria database. Energies are from PBE.

Results
Density of states at the Fermi level (states/eV per atom): 0.649
Magnetization (Bohr magnetons per cell): 0.00

Cell: 3.0921 3.0921 7.5353 Å, 90.00 90.00 90.00°
Closest atoms and distances in Å follow each position.
Space group P4mm (No. 99)
Symmetry-distinct sites (fractional):
Tc 0.0000 0.0000 0.0000  5 P 2.39-2.49
P 0.0000 0.0000 0.6832  1 Tc 2.39, 4 P 2.50
P 0.5000 0.5000 0.8430  4 Tc 2.49, 4 P 2.50
Cl 0.5000 0.5000 0.2357  4 Tc 2.82, 1 P 2.96, 4 Cl 3.09

=====

two.
Here is TcP2Cl after structural relaxation from the Alexandria database. Energies are from PBE.

Results
Density of states at the Fermi level (states/eV per atom): 0.684
Magnetization (Bohr magnetons per cell): 0.00

Cell: 4.7393 8.3070 3.1126 Å, 90.00 90.00 90.00°
Closest atoms and distances in Å follow each position.
Space group Cmmm (No. 65)
Symmetry-distinct sites (fractional):
Tc 0.0000 0.0000 0.0000  2 Cl 2.37
P 0.2500 0.2500 0.5000  2 P 2.37
Cl 0.0000 0.5000 0.0000  2 Tc 2.37

=====

Relative energies in meV per atom: one 0; two 601

=====

one.
Here is TcP2Cl after structural relaxation from the Alexandria database. Energies are from PBE.

Results
Density of states at the Fermi level (states/eV per atom): 0.800
Magnetization (Bohr magnetons per cell): 0.00

Cell: 2.9855 5.8803 9.0402 Å, 90.00 90.00 90.00°
Closest atoms and distances in Å follow each position.
Space group Cmm2 (No. 35)
Symmetry-distinct sites (fractional):
Tc 0.0000 0.0000 0.0000  2 Cl 2.37, 2 P 2.46
P 0.0000 0.0000 0.3866  2 P 2.15
P 0.0000 0.5000 0.2161  2 P 2.15
Cl 0.0000 0.5000 0.7971  2 Tc 2.37

=====

two.
Here is TcP2Cl after structural relaxation from the Alexandria database. Energies are from PBE.

Results
Density of states at the Fermi level (states/eV per atom): 0.548
Magnetization (Bohr magnetons per cell): 6.97

Cell: 6.2739 6.2739 6.2739 Å, 90.00 90.00 90.00°
Closest atoms and distances in Å follow each position.
Space group Fm-3m (No. 225)
Symmetry-distinct sites (fractional):
Tc 0.0000 0.0000 0.0000  8 P 2.72
P 0.2500 0.2500 0.2500  4 Cl 2.72, 4 Tc 2.72
Cl 0.0000 0.0000 0.5000  8 P 2.72

=====

Relative energies in meV per atom: one 0; two 391

=====

one.
Here is TcPCl after structural relaxation from the Alexandria database. Energies are from PBE.

Results
Density of states at the Fermi level (states/eV per atom): 0.670
Magnetization (Bohr magnetons per cell): 0.00

Cell: 5.9007 5.9007 5.9007 Å, 90.00 90.00 90.00°
Closest atoms and distances in Å follow each position.
Space group F-43m (No. 216)
Symmetry-distinct sites (fractional):
Tc 0.0000 0.0000 0.0000  4 P 2.56
P 0.2500 0.2500 0.7500  4 Tc 2.56, 4 Cl 2.56
Cl 0.0000 0.0000 0.5000  4 P 2.56

=====

two.
Here is TcPCl after structural relaxation from the Alexandria database. Energies are from PBE.

Results
Density of states at the Fermi level (states/eV per atom): 0.934
Magnetization (Bohr magnetons per cell): 0.00

Cell: 2.9683 2.9683 12.2159 Å, 90.00 90.00 90.00°
Closest atoms and distances in Å follow each position.
Space group I4mm (No. 107)
Symmetry-distinct sites (fractional):
Tc 0.0000 0.0000 0.0000  4 P 2.48, 4 Cl 2.69
P 0.0000 0.0000 0.6080  4 Tc 2.48
Cl 0.0000 0.0000 0.3623  4 Tc 2.69, 4 Cl 2.97, 1 P 3.00

=====

three.
Here is TcPCl after structural relaxation from the Alexandria database. Energies are from PBE.

Results
Density of states at the Fermi level (states/eV per atom): 1.062
Magnetization (Bohr magnetons per cell): 3.03

Cell: 5.8736 5.8736 5.8736 Å, 90.00 90.00 90.00°
Closest atoms and distances in Å follow each position.
Space group F-43m (No. 216)
Symmetry-distinct sites (fractional):
Tc 0.0000 0.0000 0.0000  4 Cl 2.54, 4 P 2.54
P 0.2500 0.2500 0.7500  4 Tc 2.54
Cl 0.2500 0.2500 0.2500  4 Tc 2.54

=====

four.
Here is TcPCl after structural relaxation from the Alexandria database. Energies are from PBE.

Results
Density of states at the Fermi level (states/eV per atom): 0.563
Magnetization (Bohr magnetons per cell): 1.01

Cell: 3.5465 3.5465 6.0450 Å, 90.00 90.00 120.00°
Closest atoms and distances in Å follow each position.
Space group P3m1 (No. 156)
Symmetry-distinct sites (fractional):
Tc 0.0000 0.0000 0.0000  3 P 2.27
P 0.6667 0.3333 0.8379  3 Tc 2.27
Cl 0.3333 0.6667 0.2901  3 Tc 2.70

=====

Relative energies in meV per atom: one 1076; two 133; three 342; four 0

=====

one.
Here is VTcP2Cl after structural relaxation from the Alexandria database. Energies are from PBE.

Results
Density of states at the Fermi level (states/eV per atom): 1.579
Magnetization (Bohr magnetons per cell): 0.16

Cell: 4.5196 4.5196 5.0405 Å, 90.00 90.00 90.00°
Closest atoms and distances in Å follow each position.
Space group P4/mmm (No. 123)
Symmetry-distinct sites (fractional):
V 0.0000 0.0000 0.0000  4 Cl 3.20, 8 P 3.39
Tc 0.5000 0.5000 0.5000  4 P 2.26, 2 Cl 2.52
P 0.0000 0.5000 0.5000  2 Tc 2.26
Cl 0.5000 0.5000 0.0000  2 Tc 2.52

=====

two.
Here is VTcP2Cl after structural relaxation from the Alexandria database. Energies are from PBE.

Results
Density of states at the Fermi level (states/eV per atom): 0.754
Magnetization (Bohr magnetons per cell): 4.88

Cell: 4.5943 4.5943 4.6417 Å, 90.00 90.00 90.00°
Closest atoms and distances in Å follow each position.
Space group P4/mmm (No. 123)
Symmetry-distinct sites (fractional):
V 0.0000 0.0000 0.0000  4 P 2.30, 2 Cl 2.32
Tc 0.5000 0.5000 0.5000  4 Cl 3.25, 8 P 3.27
P 0.0000 0.5000 0.0000  2 V 2.30
Cl 0.0000 0.0000 0.5000  2 V 2.32

=====

Relative energies in meV per atom: one 144; two 0

=====

one.
Here is TcP2WCl after structural relaxation from the Alexandria database. Energies are from PBE.

Results
Density of states at the Fermi level (states/eV per atom): 0.916
Magnetization (Bohr magnetons per cell): 4.45

Cell: 4.7202 4.7202 4.7663 Å, 90.00 90.00 90.00°
Closest atoms and distances in Å follow each position.
Space group P4/mmm (No. 123)
Symmetry-distinct sites (fractional):
Tc 0.0000 0.0000 0.0000  4 Cl 3.34, 8 P 3.35
P 0.0000 0.5000 0.5000  2 W 2.36
W 0.5000 0.5000 0.5000  4 P 2.36, 2 Cl 2.38
Cl 0.5000 0.5000 0.0000  2 W 2.38

=====

two.
Here is TcP2WCl after structural relaxation from the Alexandria database. Energies are from PBE.

Results
Density of states at the Fermi level (states/eV per atom): 0.815
Magnetization (Bohr magnetons per cell): 4.32

Cell: 4.5569 4.5569 4.8882 Å, 90.00 90.00 90.00°
Closest atoms and distances in Å follow each position.
Space group P4/mmm (No. 123)
Symmetry-distinct sites (fractional):
Tc 0.0000 0.0000 0.0000  4 P 2.28, 2 Cl 2.44
P 0.0000 0.5000 0.0000  2 Tc 2.28
W 0.5000 0.5000 0.5000  4 Cl 3.22, 8 P 3.34
Cl 0.0000 0.0000 0.5000  2 Tc 2.44

=====

Relative energies in meV per atom: one 0; two 243